A.
Material: LiGa2Mo2
Method: DFT, PBE-GGA
State: optimized geometry

POSCAR file:
```
LiGa2Mo2
1.0
6.612 0.000 0.000
0.000 6.612 0.000
0.000 0.000 3.545
Li Ga Mo
2 4 4
Cartesian
0.000 0.000 0.000
3.306 3.306 0.000
0.937 2.369 0.000
2.369 5.675 0.000
4.243 0.937 0.000
5.675 4.243 0.000
1.032 4.338 1.772
2.274 1.032 1.772
4.338 5.580 1.772
5.580 2.274 1.772
```

Space-group type   No. 127



B.
Material: LiGa2Mo2
Method: DFT, PBE-GGA
State: optimized geometry

POSCAR file:
```
LiGa2Mo2
1.0
7.897 0.000 0.000
0.000 7.897 0.000
0.000 0.000 2.738
Li Ga Mo
2 4 4
Cartesian
0.000 0.000 0.000
3.948 3.948 0.000
1.438 2.511 1.369
2.511 6.459 1.369
5.386 1.438 1.369
6.459 5.386 1.369
0.891 4.840 0.000
3.057 0.891 0.000
4.840 7.005 0.000
7.005 3.057 0.000
```

Space-group type   No. 127



Which structure loses on stability? A does.



A.
Material: Li2Ga2Mo
Method: DFT, PBE-GGA
State: optimized geometry

POSCAR file:
```
Li2Ga2Mo
1.0
-1.747 1.747 6.141
1.747 -1.747 6.141
1.747 1.747 -6.141
Li Ga Mo
2 2 1
Cartesian
1.747 0.000 3.070
0.000 1.747 3.070
0.000 0.000 1.210
0.000 0.000 11.072
0.000 0.000 6.141
```

Space-group type   No. 139



B.
Material: Li2Ga2Mo
Method: DFT, PBE-GGA
State: optimized geometry

POSCAR file:
```
Li2Ga2Mo
1.0
7.236 0.000 0.000
0.000 7.236 0.000
0.000 0.000 2.731
Li Ga Mo
4 4 2
Cartesian
1.110 2.509 0.000
2.509 6.127 0.000
4.728 1.110 0.000
6.127 4.728 0.000
1.060 4.678 1.366
2.558 1.060 1.366
4.678 6.176 1.366
6.176 2.558 1.366
0.000 0.000 1.366
3.618 3.618 1.366
```

Space-group type   No. 127



Which structure loses on stability? A does.



A.
Material: Li3GaN
Method: DFT, PBE-GGA
State: optimized geometry

POSCAR file:
```
Li3GaN
1.0
4.620 0.000 0.000
0.000 4.620 0.000
0.000 0.000 4.620
Li Ga N
3 1 1
Cartesian
0.000 0.000 2.310
0.000 2.310 0.000
2.310 0.000 0.000
0.000 0.000 0.000
2.310 2.310 2.310
```

Space-group type   No. 221



B.
Material: Li3GaN
Method: DFT, PBE-GGA
State: optimized geometry

POSCAR file:
```
Li3GaN
1.0
3.997 0.000 0.000
0.000 3.997 0.000
0.000 0.000 3.997
Li Ga N
3 1 1
Cartesian
0.000 0.000 1.999
0.000 1.999 0.000
1.999 0.000 0.000
1.999 1.999 1.999
0.000 0.000 0.000
```

Space-group type   No. 221



Which structure loses on stability? A does.